[1]
Here is Ca4HfTh3As8 after structural relaxation from Alexandria via LeMat-Bulk. Energies are from PBE.

Properties
Its formation energy is -1.2767 eV/atom. The size of the total moment is 0.00 μB/atom. As for the total energy: -6.115 eV/atom. For the volume, the calculation gives 26.6 Å³/atom.

Cell lengths 8.4350, 8.4350, 20.6873 Å; angles 90.00, 90.00, 120.00 degrees
Space group R-3m (No. 166, hexagonal axes)
Inequivalent atoms, fractional coordinates:
Ca 0.0000 0.0000 0.0000 (multiplicity 3)
Ca 0.0000 0.5000 0.0000 (multiplicity 9)
Hf 0.0000 0.0000 0.5000 (multiplicity 3)
Th 0.0000 0.5000 0.5000 (multiplicity 9)
As 0.0000 0.0000 0.2478 (multiplicity 6)
As 0.0161 0.5081 0.2445 (multiplicity 18)

[2]
Here is Tm6Mg3Tc after structural relaxation from Alexandria via LeMat-Bulk. Energies are from PBE.

Properties
Its formation energy is -0.0509 eV/atom. The size of the total moment is 0.00 μB/atom. As for the total energy: -4.249 eV/atom. For the volume, the calculation gives 26.1 Å³/atom.

Cell lengths 9.254, 5.302, 11.145 Å; angles 90.00, 107.34, 90.00 degrees
Space group P2_1/m (No. 11)
Inequivalent atoms, fractional coordinates:
Tm 0.043 0.250 0.418 (multiplicity 2)
Tm 0.208 0.750 0.175 (multiplicity 2)
Tm 0.297 0.250 0.012 (multiplicity 2)
Tm 0.345 0.750 0.829 (multiplicity 2)
Tm 0.380 0.250 0.341 (multiplicity 2)
Tm 0.398 0.250 0.649 (multiplicity 2)
Mg 0.012 0.750 0.884 (multiplicity 2)
Mg 0.090 0.250 0.727 (multiplicity 2)
Mg 0.266 0.750 0.479 (multiplicity 2)
Tc 0.467 0.750 0.098 (multiplicity 2)

[3]
Here is Cd2NiTe after structural relaxation from Alexandria via LeMat-Bulk. Energies are from PBE.

Properties
The size of the total moment is 0.00 μB/atom. As for the total energy: -2.650 eV/atom. For the volume, the calculation gives 21.9 Å³/atom. Its uncorrected formation energy is 0.15 eV per formula unit.

Cell lengths 13.834, 3.303, 4.008 Å; angles 90.00, 106.70, 90.00 degrees
Space group C2/m (No. 12)
Inequivalent atoms, fractional coordinates:
Cd 0.187 0.000 0.187 (multiplicity 4)
Ni 0.000 0.500 0.000 (multiplicity 2)
Te 0.000 0.000 0.500 (multiplicity 2)

[4]
Here is TiFeTe2 after structural relaxation from Alexandria via LeMat-Bulk. Energies are from PBE.

Properties
The size of the total moment is 0.37 μB/atom. As for the total energy: -5.353 eV/atom. For the volume, the calculation gives 22.4 Å³/atom. Its uncorrected formation energy is 1.23 eV per formula unit.

Cell lengths 3.4549, 3.4549, 25.9946 Å; angles 90.00, 90.00, 120.00 degrees
Space group R-3m (No. 166, hexagonal axes)
Inequivalent atoms, fractional coordinates:
Ti 0.0000 0.0000 0.0000 (multiplicity 3)
Fe 0.0000 0.0000 0.5000 (multiplicity 3)
Te 0.0000 0.0000 0.1059 (multiplicity 6)

[5]
Here is ZrBr2Cl after structural relaxation from Alexandria via LeMat-Bulk. Energies are from PBE.

Properties
The size of the total moment is 0.00 μB/atom. As for the total energy: -4.327 eV/atom. For the volume, the calculation gives 27.0 Å³/atom. Its uncorrected formation energy is -3.57 eV per formula unit. The energy above the lowest structure with this stoichiometry comes out at 526.5 meV per atom.

Cell lengths 3.609, 3.609, 8.281 Å; angles 90.00, 90.00, 90.00 degrees
Space group P4mm (No. 99)
Inequivalent atoms, fractional coordinates:
Zr 0.000 0.000 0.000 (multiplicity 1)
Br 0.000 0.000 0.682 (multiplicity 1)
Br 0.500 0.500 0.242 (multiplicity 1)
Cl 0.500 0.500 0.884 (multiplicity 1)

[6]
Here is PaAlRe after structural relaxation from Alexandria via LeMat-Bulk. Energies are from PBE.

Properties
Its formation energy is -0.3089 eV/atom. The size of the total moment is 0.00 μB/atom. As for the total energy: -8.871 eV/atom. For the volume, the calculation gives 18.6 Å³/atom. The energy above the lowest structure with this stoichiometry comes out at 0.0 meV per atom.

Cell lengths 5.373, 5.552, 7.471 Å; angles 90.00, 90.00, 90.00 degrees
Space group Imma (No. 74)
Inequivalent atoms, fractional coordinates:
Pa 0.000 0.250 0.140 (multiplicity 4)
Al 0.250 0.250 0.750 (multiplicity 4)
Re 0.000 0.000 0.500 (multiplicity 4)

[7]
Here is As3RuC after structural relaxation from Alexandria via LeMat-Bulk. Energies are from PBE.

Properties
Its formation energy is 1.1276 eV/atom. The size of the total moment is 0.00 μB/atom. As for the total energy: -5.362 eV/atom. For the volume, the calculation gives 15.1 Å³/atom. The energy above the lowest structure with this stoichiometry comes out at 0.0 meV per atom.

Cell lengths 4.223, 4.223, 4.223 Å; angles 90.00, 90.00, 90.00 degrees
Space group Pm-3m (No. 221)
Inequivalent atoms, fractional coordinates:
As 0.000 0.000 0.500 (multiplicity 3)
Ru 0.500 0.500 0.500 (multiplicity 1)
C 0.000 0.000 0.000 (multiplicity 1)

[8]
Here is ScMo2Ru after structural relaxation from Alexandria via LeMat-Bulk. Energies are from PBE.

Properties
Its formation energy is 0.1329 eV/atom. The size of the total moment is 0.00 μB/atom. As for the total energy: -9.184 eV/atom. For the volume, the calculation gives 15.9 Å³/atom. The energy above the lowest structure with this stoichiometry comes out at 242.4 meV per atom.

Cell lengths 6.341, 6.341, 6.341 Å; angles 90.00, 90.00, 90.00 degrees
Space group Fm-3m (No. 225)
Inequivalent atoms, fractional coordinates:
Sc 0.000 0.000 0.000 (multiplicity 4)
Mo 0.250 0.250 0.250 (multiplicity 8)
Ru 0.000 0.000 0.500 (multiplicity 4)